No. 1
The following is a DFT calculation (PBE-GGA) of crystalline ScHAu2 at its relaxed geometry.

Properties
* energy relative to the lowest polymorph listed for this composition: 0.2347 eV per atom
* total energy: -4.056 eV/atom
* M_tot: 0.0 μB/f.u.

Unit cell a=6.4506 b=6.4506 c=6.4506 alpha=90.00 beta=90.00 gamma=90.00
Space group Fm-3m (No. 225)
Unique sites:
Sc 0.0000 0.0000 0.0000 x4
H 0.0000 0.0000 0.5000 x4
Au 0.2500 0.2500 0.2500 x8


No. 2
The following is a DFT calculation (PBE-GGA) of crystalline Sc3HAu at its relaxed geometry.

Properties
* energy relative to the lowest polymorph listed for this composition: 0.0154 eV per atom
* total energy: -5.538 eV/atom
* M_tot: 0.0 μB/f.u.

Unit cell a=8.8082 b=11.8385 c=3.4464 alpha=90.00 beta=90.00 gamma=90.00
Space group Cmmm (No. 65)
Unique sites:
Sc 0.0000 0.1947 0.0000 x4
Sc 0.1976 0.3729 0.5000 x8
H 0.2500 0.2500 0.0000 x4
Au 0.0000 0.0000 0.5000 x2
Au 0.0000 0.5000 0.0000 x2


Copy entry 2 word for word.
The following is a DFT calculation (PBE-GGA) of crystalline Sc3HAu at its relaxed geometry.

Properties
* energy relative to the lowest polymorph listed for this composition: 0.0154 eV per atom
* total energy: -5.538 eV/atom
* M_tot: 0.0 μB/f.u.

Unit cell a=8.8082 b=11.8385 c=3.4464 alpha=90.00 beta=90.00 gamma=90.00
Space group Cmmm (No. 65)
Unique sites:
Sc 0.0000 0.1947 0.0000 x4
Sc 0.1976 0.3729 0.5000 x8
H 0.2500 0.2500 0.0000 x4
Au 0.0000 0.0000 0.5000 x2
Au 0.0000 0.5000 0.0000 x2


Among the records above, which one has the lowest energy relative to the lowest polymorph listed for this composition? Sc3HAu


Which value of M_tot does entry 2 give? 0.0 μB/f.u.


energy relative to the lowest polymorph listed for this composition of number 2 (Sc3HAu)? 0.0154 eV per atom